No. 1
Entry from Alexandria via LeMat-Bulk: an optimized crystal structure of La4Pm5Y2 (GGA-PBE).

As for the total magnetization: 0.0 Bohr magnetons per cell. As for the theoretical density: 6.27 g/cm3. The energy above the most stable polymorph in this dataset is 0.000 eV/atom.

It has space group C2/m (No. 12), with a = 18.039 Å, b = 3.605 Å, c = 11.905 Å, α = 90.00°, β = 94.22° and γ = 90.00°. The distinct sites, in fractional coordinates, are La at (0.039, 0.000, 0.263), La at (0.141, 0.500, 0.796), Pm at (0.000, 0.500, 0.000), Pm at (0.096, 0.000, 0.539), Pm at (0.179, 0.000, 0.073) and Y at (0.216, 0.500, 0.361).

***

No. 2
Entry from Alexandria via LeMat-Bulk: an optimized crystal structure of AcPr2Sn2Pd2 (GGA-PBE).

Its raw total energy is -111.64 eV per cell. As for the total magnetization: 0.0 Bohr magnetons per cell. As for the theoretical density: 8.40 g/cm3.

It has space group R-3m (No. 166, hexagonal axes), with a = 4.8206 Å, b = 4.8206 Å, c = 28.2676 Å, α = 90.00°, β = 90.00° and γ = 120.00°. The distinct sites, in fractional coordinates, are Ac at (0.0000, 0.0000, 0.0000), Pr at (0.0000, 0.0000, 0.1354), Sn at (0.0000, 0.0000, 0.2587) and Pd at (0.0000, 0.0000, 0.4253).

***

No. 3
Entry from Alexandria via LeMat-Bulk: an optimized crystal structure of NbIr2Os2 (GGA-PBE).

As for the total magnetization: 0.0 Bohr magnetons per cell. As for the theoretical density: 18.15 g/cm3. The energy above the most stable polymorph in this dataset is 0.000 eV/atom.

It has space group P4/mbm (No. 127), with a = 7.519 Å, b = 7.519 Å, c = 2.776 Å, α = 90.00°, β = 90.00° and γ = 90.00°. The distinct sites, in fractional coordinates, are Nb at (0.000, 0.000, 0.000), Ir at (0.173, 0.327, 0.500) and Os at (0.124, 0.624, 0.000).

***

No. 4
Entry from Alexandria via LeMat-Bulk: an optimized crystal structure of BaZrBe (GGA-PBE).

As for the total magnetization: 0.0 Bohr magnetons per cell. As for the theoretical density: 4.77 g/cm3. The energy above the most stable polymorph in this dataset is 1.170 eV/atom.

It has space group F-43m (No. 216), with a = 6.914 Å, b = 6.914 Å, c = 6.914 Å, α = 90.00°, β = 90.00° and γ = 90.00°. The distinct sites, in fractional coordinates, are Ba at (0.000, 0.000, 0.000), Zr at (0.250, 0.250, 0.750) and Be at (0.250, 0.250, 0.250).

***

No. 5
Entry from Alexandria via LeMat-Bulk: an optimized crystal structure of Th4GaSi (GGA-PBE).

The formation energy (no corrections) comes out at -0.44 eV per atom. As for the total magnetization: 0.0 Bohr magnetons per cell. As for the theoretical density: 10.38 g/cm3.

It has space group P4/mcc (No. 124), with a = 7.429 Å, b = 7.429 Å, c = 5.945 Å, α = 90.00°, β = 90.00° and γ = 90.00°. The distinct sites, in fractional coordinates, are Th at (0.158, 0.334, 0.000), Ga at (0.500, 0.500, 0.250) and Si at (0.000, 0.000, 0.250).

***

No. 6
Entry from Alexandria via LeMat-Bulk: an optimized crystal structure of NaPr2Ag (GGA-PBE).

As for the total magnetization: 0.8 Bohr magnetons per cell. As for the theoretical density: 5.81 g/cm3. The energy above the most stable polymorph in this dataset is 0.072 eV/atom.

It has space group P4/mmm (No. 123), with a = 5.316 Å, b = 5.316 Å, c = 4.176 Å, α = 90.00°, β = 90.00° and γ = 90.00°. The distinct sites, in fractional coordinates, are Na at (0.000, 0.000, 0.000), Pr at (0.000, 0.500, 0.500) and Ag at (0.500, 0.500, 0.000).

***

No. 7
Entry from Alexandria via LeMat-Bulk: an optimized crystal structure of CsFeCuS2 (GGA-PBE).

The formation energy (no corrections) comes out at -0.61 eV per atom. As for the total magnetization: 16.1 Bohr magnetons per cell. As for the theoretical density: 4.37 g/cm3.

It has space group Cmme (No. 67), with a = 5.783 Å, b = 14.303 Å, c = 5.820 Å, α = 90.00°, β = 90.00° and γ = 90.00°. The distinct sites, in fractional coordinates, are Cs at (0.000, 0.250, 0.238), Fe at (0.250, 0.000, 0.500), Cu at (0.000, 0.000, 0.000) and S at (0.000, 0.097, 0.714).

***

No. 8
Entry from Alexandria via LeMat-Bulk: an optimized crystal structure of Th8Ga3Bi2 (GGA-PBE).

Its raw total energy is -155.69 eV per cell. As for the total magnetization: 0.0 Bohr magnetons per cell. As for the theoretical density: 10.18 g/cm3.

It has space group C2/m (No. 12), with a = 16.500 Å, b = 7.941 Å, c = 6.190 Å, α = 90.00°, β = 93.12° and γ = 90.00°. The distinct sites, in fractional coordinates, are Th at (0.082, 0.000, 0.390), Th at (0.109, 0.213, 0.885), Th at (0.160, 0.500, 0.325), Ga at (0.000, 0.339, 0.500), Ga at (0.000, 0.500, 0.000) and Bi at (0.246, 0.500, 0.824).

***

No. 9
Entry from Alexandria via LeMat-Bulk: an optimized crystal structure of La6TbNdHo2 (GGA-PBE).

Its raw total energy is -92.41 eV per cell. As for the total magnetization: 0.0 Bohr magnetons per cell. As for the theoretical density: 6.81 g/cm3.

It has space group C2/m (No. 12), with a = 11.389 Å, b = 7.168 Å, c = 8.995 Å, α = 90.00°, β = 103.26° and γ = 90.00°. The distinct sites, in fractional coordinates, are La at (0.138, 0.000, 0.435), La at (0.181, 0.278, 0.805), Tb at (0.000, 0.000, 0.000), Nd at (0.000, 0.500, 0.500) and Ho at (0.089, 0.500, 0.161).

***

No. 10
Entry from Alexandria via LeMat-Bulk: an optimized crystal structure of RbLiBiTe (GGA-PBE).

The formation energy (no corrections) comes out at -0.66 eV per atom. As for the total magnetization: 0.0 Bohr magnetons per cell. As for the theoretical density: 4.90 g/cm3.

It has space group P4/nmm (No. 129, origin choice 2), with a = 4.507 Å, b = 4.507 Å, c = 14.319 Å, α = 90.00°, β = 90.00° and γ = 90.00°. The distinct sites, in fractional coordinates, are Rb at (0.250, 0.250, 0.244), Li at (0.250, 0.750, 0.000), Bi at (0.250, 0.750, 0.500) and Te at (0.250, 0.250, 0.883).

***

No. 11
Entry from Alexandria via LeMat-Bulk: an optimized crystal structure of Na2ZrTe2 (GGA-PBE).

The formation energy (no corrections) comes out at -0.25 eV per atom. As for the total magnetization: 3.7 Bohr magnetons per cell. As for the theoretical density: 5.13 g/cm3. The energy above the most stable polymorph in this dataset is 0.000 eV/atom.

It has space group P4/mbm (No. 127), with a = 8.143 Å, b = 8.143 Å, c = 3.829 Å, α = 90.00°, β = 90.00° and γ = 90.00°. The distinct sites, in fractional coordinates, are Na at (0.113, 0.387, 0.000), Zr at (0.000, 0.000, 0.000) and Te at (0.191, 0.691, 0.500).

***

No. 12
Entry from Alexandria via LeMat-Bulk: an optimized crystal structure of La2SmZn2In2 (GGA-PBE).

Its raw total energy is -74.67 eV per cell. As for the total magnetization: 0.0 Bohr magnetons per cell. As for the theoretical density: 7.10 g/cm3.

It has space group R-3m (No. 166, hexagonal axes), with a = 4.7535 Å, b = 4.7535 Å, c = 28.2951 Å, α = 90.00°, β = 90.00° and γ = 120.00°. The distinct sites, in fractional coordinates, are La at (0.0000, 0.0000, 0.1313), Sm at (0.0000, 0.0000, 0.0000), Zn at (0.0000, 0.0000, 0.3960) and In at (0.0000, 0.0000, 0.2671).

***

No. 13
Entry from Alexandria via LeMat-Bulk: an optimized crystal structure of Cd2CoRu (GGA-PBE).

As for the total magnetization: 5.3 Bohr magnetons per cell. As for the theoretical density: 9.84 g/cm3. The energy above the most stable polymorph in this dataset is 0.219 eV/atom.

It has space group R-3m (No. 166, hexagonal axes), with a = 2.8583 Å, b = 2.8583 Å, c = 27.5326 Å, α = 90.00°, β = 90.00° and γ = 120.00°. The distinct sites, in fractional coordinates, are Cd at (0.0000, 0.0000, 0.2477), Co at (0.0000, 0.0000, 0.5000) and Ru at (0.0000, 0.0000, 0.0000).

***

No. 14
Entry from Alexandria via LeMat-Bulk: an optimized crystal structure of ScPaRePt (GGA-PBE).

Its raw total energy is -145.06 eV per cell. As for the total magnetization: 0.0 Bohr magnetons per cell. As for the theoretical density: 13.97 g/cm3.

It has space group F-43m (No. 216), with a = 6.785 Å, b = 6.785 Å, c = 6.785 Å, α = 90.00°, β = 90.00° and γ = 90.00°. The distinct sites, in fractional coordinates, are Sc at (0.000, 0.000, 0.000), Pa at (0.000, 0.000, 0.500), Re at (0.250, 0.250, 0.250) and Pt at (0.250, 0.250, 0.750).

***

No. 15
Entry from Alexandria via LeMat-Bulk: an optimized crystal structure of Co2Cl (GGA-PBE).

The formation energy (no corrections) comes out at 0.60 eV per atom. As for the total magnetization: 6.5 Bohr magnetons per cell. As for the theoretical density: 6.58 g/cm3. The energy above the most stable polymorph in this dataset is 0.704 eV/atom.

It has space group Pnnm (No. 58), with a = 2.914 Å, b = 6.724 Å, c = 3.950 Å, α = 90.00°, β = 90.00° and γ = 90.00°. The distinct sites, in fractional coordinates, are Co at (0.235, 0.166, 0.000) and Cl at (0.000, 0.000, 0.500).

***

No. 16
Entry from Alexandria via LeMat-Bulk: an optimized crystal structure of Pr4SmTm2Th (GGA-PBE).

Its raw total energy is -39.87 eV per cell. As for the total magnetization: 0.0 Bohr magnetons per cell. As for the theoretical density: 7.88 g/cm3.

It has space group Pmmm (No. 47), with a = 5.119 Å, b = 5.136 Å, c = 10.296 Å, α = 90.00°, β = 90.00° and γ = 90.00°. The distinct sites, in fractional coordinates, are Pr at (0.000, 0.000, 0.247), Pr at (0.500, 0.500, 0.248), Sm at (0.500, 0.000, 0.500), Tm at (0.000, 0.500, 0.500), Tm at (0.500, 0.000, 0.000) and Th at (0.000, 0.500, 0.000).

***

No. 17
Entry from Alexandria via LeMat-Bulk: an optimized crystal structure of Ca2InB3Pt12 (GGA-PBE).

Its raw total energy is -313.66 eV per cell. As for the total magnetization: 0.0 Bohr magnetons per cell. As for the theoretical density: 13.33 g/cm3.

It has space group R-3m (No. 166, hexagonal axes), with a = 8.0194 Å, b = 8.0194 Å, c = 17.2281 Å, α = 90.00°, β = 90.00° and γ = 120.00°. The distinct sites, in fractional coordinates, are Ca at (0.0000, 0.0000, 0.0964), In at (0.0000, 0.0000, 0.5000), B at (0.0000, 0.5000, 0.0000), Pt at (0.0220, 0.5110, 0.8774) and Pt at (0.0613, 0.5306, 0.3506).

***

No. 18
Entry from Alexandria via LeMat-Bulk: an optimized crystal structure of Cs3Mg2Tl8 (GGA-PBE).

Its raw total energy is -70.73 eV per cell. As for the total magnetization: 0.0 Bohr magnetons per cell. As for the theoretical density: 5.91 g/cm3.

It has space group R-3m (No. 166, hexagonal axes), with a = 7.8993 Å, b = 7.8993 Å, c = 32.4566 Å, α = 90.00°, β = 90.00° and γ = 120.00°. The distinct sites, in fractional coordinates, are Cs at (0.0000, 0.0000, 0.0000), Cs at (0.0000, 0.0000, 0.2463), Mg at (0.0000, 0.0000, 0.4525), Tl at (0.0000, 0.0000, 0.3625) and Tl at (0.0698, 0.5349, 0.8000).

***

No. 19
Entry from Alexandria via LeMat-Bulk: an optimized crystal structure of Rb2Ga3Sn5 (GGA-PBE).

As for the total magnetization: 0.0 Bohr magnetons per cell. As for the theoretical density: 5.32 g/cm3. The energy above the most stable polymorph in this dataset is 0.035 eV/atom.

It has space group P-4m2 (No. 115), with a = 5.162 Å, b = 5.162 Å, c = 11.399 Å, α = 90.00°, β = 90.00° and γ = 90.00°. The distinct sites, in fractional coordinates, are Rb at (0.000, 0.500, 0.240), Ga at (0.000, 0.000, 0.000), Ga at (0.000, 0.500, 0.893), Sn at (0.000, 0.000, 0.500), Sn at (0.000, 0.500, 0.642), Sn at (0.500, 0.500, 0.000) and Sn at (0.500, 0.500, 0.500).

***

No. 20
Entry from Alexandria via LeMat-Bulk: an optimized crystal structure of VHgMoH2 (GGA-PBE).

Its raw total energy is -21.23 eV per cell. As for the total magnetization: 2.7 Bohr magnetons per cell. As for the theoretical density: 7.93 g/cm3.

It has space group P4/mmm (No. 123), with a = 3.752 Å, b = 3.752 Å, c = 5.195 Å, α = 90.00°, β = 90.00° and γ = 90.00°. The distinct sites, in fractional coordinates, are V at (0.000, 0.000, 0.000), Hg at (0.000, 0.000, 0.500), Mo at (0.500, 0.500, 0.500) and H at (0.000, 0.500, 0.000).

***

No. 21
Entry from Alexandria via LeMat-Bulk: an optimized crystal structure of CaFeRh4 (GGA-PBE).

Its raw total energy is -159.20 eV per cell. As for the total magnetization: 21.6 Bohr magnetons per cell. As for the theoretical density: 8.42 g/cm3.

It has space group F-43m (No. 216), with a = 7.371 Å, b = 7.371 Å, c = 7.371 Å, α = 90.00°, β = 90.00° and γ = 90.00°. The distinct sites, in fractional coordinates, are Ca at (0.000, 0.000, 0.000), Fe at (0.250, 0.250, 0.750) and Rh at (0.125, 0.125, 0.375).

***

No. 22
Entry from Alexandria via LeMat-Bulk: an optimized crystal structure of Ce2HoRu (GGA-PBE).

As for the total magnetization: 0.0 Bohr magnetons per cell. As for the theoretical density: 9.34 g/cm3. The energy above the most stable polymorph in this dataset is 0.326 eV/atom.

It has space group R-3m (No. 166, hexagonal axes), with a = 4.7858 Å, b = 4.7858 Å, c = 14.6903 Å, α = 90.00°, β = 90.00° and γ = 120.00°. The distinct sites, in fractional coordinates, are Ce at (0.0000, 0.0000, 0.2371), Ho at (0.0000, 0.0000, 0.0000) and Ru at (0.0000, 0.0000, 0.5000).

***

No. 23
Entry from Alexandria via LeMat-Bulk: an optimized crystal structure of Na2HgSb2 (GGA-PBE).

The formation energy (no corrections) comes out at -0.13 eV per atom. As for the total magnetization: 0.0 Bohr magnetons per cell. As for the theoretical density: 5.22 g/cm3. The energy above the most stable polymorph in this dataset is 0.124 eV/atom.

It has space group I4/mmm (No. 139), with a = 4.346 Å, b = 4.346 Å, c = 16.495 Å, α = 90.00°, β = 90.00° and γ = 90.00°. The distinct sites, in fractional coordinates, are Na at (0.000, 0.000, 0.102), Hg at (0.000, 0.000, 0.500) and Sb at (0.000, 0.500, 0.250).

***

No. 24
Entry from Alexandria via LeMat-Bulk: an optimized crystal structure of CdS2IN (GGA-PBE).

The formation energy (no corrections) comes out at 1.25 eV per atom. As for the total magnetization: 2.5 Bohr magnetons per cell. As for the theoretical density: 4.54 g/cm3. The energy above the most stable polymorph in this dataset is 0.133 eV/atom.

It has space group P4/mmm (No. 123), with a = 5.220 Å, b = 5.220 Å, c = 4.259 Å, α = 90.00°, β = 90.00° and γ = 90.00°. The distinct sites, in fractional coordinates, are Cd at (0.000, 0.000, 0.000), S at (0.000, 0.500, 0.000), I at (0.500, 0.500, 0.500) and N at (0.000, 0.000, 0.500).

***

No. 25
Entry from Alexandria via LeMat-Bulk: an optimized crystal structure of V2SnSb (GGA-PBE).

The formation energy (no corrections) comes out at 0.26 eV per atom. As for the total magnetization: 0.0 Bohr magnetons per cell. As for the theoretical density: 7.96 g/cm3. The energy above the most stable polymorph in this dataset is 0.000 eV/atom.

It has space group Fm-3m (No. 225), with a = 6.585 Å, b = 6.585 Å, c = 6.585 Å, α = 90.00°, β = 90.00° and γ = 90.00°. The distinct sites, in fractional coordinates, are V at (0.250, 0.250, 0.250), Sn at (0.000, 0.000, 0.000) and Sb at (0.000, 0.000, 0.500).